Material: ZrTi2Si2
Method: DFT, PBE
State: optimized geometry

abc: 3.451 3.451 7.837
angles: 77.28 77.28 90.00
Fractional positions:
Si1 0.750 0.250 0.500
Si2 0.250 0.750 0.500
Zr1 0.000 0.000 0.000
Ti1 0.385 0.385 0.230
Ti2 0.615 0.615 0.770

Properties
DOS at the Fermi energy (states/eV per atom): 1.105
E above lowest polymorph (eV/atom): 0.685
Space group: No. 139
M_tot (μB/atom): 0.000
Raw formation energy (meV per atom): -66
Energy (eV/atom): -7.103